(1)
VASP calculation (PBE) on crystalline Be2Ag2S at its relaxed geometry.

a = 6.341 Å, b = 6.341 Å, c = 6.341 Å
α = 146.17°, β = 146.17°, γ = 48.59°
Positions (direct):
Be: 0.094 0.094 0.000
Be: 0.906 0.906 0.000
Ag: 0.250 0.750 0.500
Ag: 0.750 0.250 0.500
S: 0.500 0.500 0.000

Properties
Offset from the most stable computed form in meV per atom: 276
Formation energy from raw total energies in eV per atom: 0.520
Space group: No. 139

=====

(2)
VASP calculation (PBE) on crystalline Ac3MgNi3 at its relaxed geometry.

a = 6.043 Å, b = 6.043 Å, c = 14.800 Å
α = 90.00°, β = 90.00°, γ = 139.61°
Positions (direct):
Ac: 0.018 0.982 0.750
Ac: 0.291 0.709 0.606
Ac: 0.291 0.709 0.894
Ac: 0.709 0.291 0.106
Ac: 0.709 0.291 0.394
Ac: 0.982 0.018 0.250
Mg: 0.000 0.000 0.000
Mg: 0.000 0.000 0.500
Ni: 0.284 0.716 0.250
Ni: 0.408 0.592 0.100
Ni: 0.408 0.592 0.400
Ni: 0.592 0.408 0.600
Ni: 0.592 0.408 0.900
Ni: 0.716 0.284 0.750

Properties
ΔH_f (0 K) in eV per atom: -0.211
Space group: No. 63

=====

(3)
VASP calculation (PBE) on crystalline TlNi3 at its relaxed geometry.

a = 2.966 Å, b = 2.966 Å, c = 7.781 Å
α = 90.00°, β = 90.00°, γ = 120.00°
Positions (direct):
Tl: 0.000 0.000 0.000
Ni: 0.000 0.000 0.500
Ni: 0.333 0.667 0.281
Ni: 0.333 0.667 0.719

Properties
ΔH_f (0 K) in eV per atom: 0.514
Space group: No. 187

=====

(4)
VASP calculation (PBE) on crystalline LiTlGaNi at its relaxed geometry.

a = 4.476 Å, b = 4.476 Å, c = 4.476 Å
α = 60.00°, β = 60.00°, γ = 60.00°
Positions (direct):
Li: 0.000 0.000 0.000
Tl: 0.750 0.750 0.750
Ga: 0.250 0.250 0.250
Ni: 0.500 0.500 0.500

Properties
ΔH_f (0 K) in eV per atom: -0.109
Space group: No. 216